The following is a PBE calculation of a relaxed ZrRe2Tc crystal, from Alexandria via LeMat-Bulk.

The space group is Cmmm (No. 65) and the conventional cell measures 3.181, 4.532 and 9.029 Å, with angles of 90.00, 90.00 and 90.00 degrees. The inequivalent atoms are Zr at (0.000, 0.000, 0.000), Re at (0.000, 0.500, 0.264) and Tc at (0.000, 0.000, 0.500).

As for the formation energy from the elements: 152.6 meV per atom. The energy above the lowest structure with this stoichiometry comes out at 219 meV per atom. As for the volume: 16.3 Å³/atom.